Entry a
# AgSbPd | Alexandria via LeMat-Bulk | GGA-PBE | optimized geometry
data_AgSbPd
_cell_length_a 4.637
_cell_length_b 4.637
_cell_length_c 3.165
_cell_angle_alpha 90.00
_cell_angle_beta 90.00
_cell_angle_gamma 120.00
_space_group_name_H-M_alt 'P 1'
_space_group_IT_number 1
loop_
_space_group_symop_operation_xyz
'x,y,z'
loop_
_atom_site_label
_atom_site_type_symbol
_atom_site_fract_x
_atom_site_fract_y
_atom_site_fract_z
Ag1 Ag 0.000 0.000 0.000
Sb1 Sb 0.667 0.333 0.500
Pd1 Pd 0.333 0.667 0.500
# Calculated volume ... 58.9 Å³/cell
# N(E_F) ... 0.417 states/eV/atom
# Total moment ... 0.0 μB per cell

---

Entry b
# AgSbPd | Alexandria via LeMat-Bulk | GGA-PBE | optimized geometry
data_AgSbPd
_cell_length_a 3.370
_cell_length_b 5.711
_cell_length_c 6.950
_cell_angle_alpha 66.06
_cell_angle_beta 76.21
_cell_angle_gamma 89.78
_space_group_name_H-M_alt 'P 1'
_space_group_IT_number 1
loop_
_space_group_symop_operation_xyz
'x,y,z'
loop_
_atom_site_label
_atom_site_type_symbol
_atom_site_fract_x
_atom_site_fract_y
_atom_site_fract_z
Ag1 Ag 0.003 0.251 0.497
Ag2 Ag 0.997 0.749 0.503
Sb1 Sb 0.316 0.822 0.857
Sb2 Sb 0.684 0.178 0.143
Pd1 Pd 0.355 0.350 0.795
Pd2 Pd 0.645 0.650 0.205
# Calculated volume ... 118.1 Å³/cell
# N(E_F) ... 0.466 states/eV/atom
# Total moment ... 0.0 μB per cell

---

Entry c
# AgSbPd | Alexandria via LeMat-Bulk | GGA-PBE | optimized geometry
data_AgSbPd
_cell_length_a 5.189
_cell_length_b 5.189
_cell_length_c 5.189
_cell_angle_alpha 139.70
_cell_angle_beta 139.70
_cell_angle_gamma 58.31
_space_group_name_H-M_alt 'P 1'
_space_group_IT_number 1
loop_
_space_group_symop_operation_xyz
'x,y,z'
loop_
_atom_site_label
_atom_site_type_symbol
_atom_site_fract_x
_atom_site_fract_y
_atom_site_fract_z
Ag1 Ag 0.000 0.000 0.000
Sb1 Sb 0.689 0.689 0.000
Pd1 Pd 0.326 0.326 0.000
# Calculated volume ... 57.9 Å³/cell
# N(E_F) ... 0.396 states/eV/atom
# Total moment ... 0.0 μB per cell

---

Entry d
# AgSbPd | Alexandria via LeMat-Bulk | GGA-PBE | optimized geometry
data_AgSbPd
_cell_length_a 13.073
_cell_length_b 3.264
_cell_length_c 3.264
_cell_angle_alpha 60.04
_cell_angle_beta 90.00
_cell_angle_gamma 90.00
_space_group_name_H-M_alt 'P 1'
_space_group_IT_number 1
loop_
_space_group_symop_operation_xyz
'x,y,z'
loop_
_atom_site_label
_atom_site_type_symbol
_atom_site_fract_x
_atom_site_fract_y
_atom_site_fract_z
Ag1 Ag 0.159 0.000 0.000
Ag2 Ag 0.841 0.000 0.000
Sb1 Sb 0.339 0.665 0.665
Sb2 Sb 0.661 0.665 0.665
Pd1 Pd 0.000 0.334 0.334
Pd2 Pd 0.500 0.332 0.332
# Calculated volume ... 120.7 Å³/cell
# N(E_F) ... 0.449 states/eV/atom
# Total moment ... 0.0 μB per cell

---

Q: Which of them is the least stable? A: entry d.